Record 1
# PBE LaSc2CoSn, optimized geometry
# * total moment: 0.00 μB per formula unit
# * energy of formation: -0.33 eV/atom
# * total energy: -6.07 eV/atom
# * density of states at the Fermi level: 0.998 states/eV/atom
data_LaSc2CoSn
_chemical_formula_sum 'La1 Sc2 Co1 Sn1'
_space_group_name_H-M_alt 'P 4/m m m'
_space_group_IT_number 123
_space_group_name_Hall '-P 4 2'
_cell_length_a 4.9652
_cell_length_b 4.9652
_cell_length_c 5.0230
_cell_angle_alpha 90.00
_cell_angle_beta 90.00
_cell_angle_gamma 90.00
loop_
_atom_site_label
_atom_site_fract_x
_atom_site_fract_y
_atom_site_fract_z
_atom_site_occupancy
La1 0.0000 0.0000 0.0000 1
Sc1 0.0000 0.5000 0.5000 1
Co1 0.0000 0.0000 0.5000 1
Sn1 0.5000 0.5000 0.0000 1


Record 2
# PBE Mg2Ni2Bi, optimized geometry
# * total moment: 0.00 μB per formula unit
# * energy of formation: -0.07 eV/atom
# * total energy: -3.80 eV/atom
# * density of states at the Fermi level: 0.668 states/eV/atom
# * energy above the most stable polymorph in this dataset: 0.0 kJ/mol of atoms
data_Mg2Ni2Bi
_chemical_formula_sum 'Mg4 Ni4 Bi2'
_space_group_name_H-M_alt 'P 4/m b m'
_space_group_IT_number 127
_space_group_name_Hall '-P 4 2ab'
_cell_length_a 6.9766
_cell_length_b 6.9766
_cell_length_c 3.6187
_cell_angle_alpha 90.00
_cell_angle_beta 90.00
_cell_angle_gamma 90.00
loop_
_atom_site_label
_atom_site_fract_x
_atom_site_fract_y
_atom_site_fract_z
_atom_site_occupancy
Mg1 0.1561 0.3439 0.0000 1
Ni1 0.1291 0.6291 0.5000 1
Bi1 0.0000 0.0000 0.5000 1


Record 3
# PBE ScCo2Te, optimized geometry
# * energy relative to the elements, uncorrected: 0.004 eV per atom
# * total moment: 2.40 μB per formula unit
# * total energy: -5.92 eV/atom
# * density of states at the Fermi level: 1.311 states/eV/atom
# * energy above the most stable polymorph in this dataset: 21.3 kJ/mol of atoms
data_ScCo2Te
_chemical_formula_sum 'Sc1 Co2 Te1'
_space_group_name_H-M_alt 'P 4 m m'
_space_group_IT_number 99
_cell_length_a 3.3410
_cell_length_b 3.3410
_cell_length_c 6.1607
_cell_angle_alpha 90.00
_cell_angle_beta 90.00
_cell_angle_gamma 90.00
loop_
_space_group_symop_operation_xyz
'x,y,z'
'-y,x,z'
'-x,-y,z'
'y,-x,z'
'-x,y,z'
'y,x,z'
'x,-y,z'
'-y,-x,z'
loop_
_atom_site_label
_atom_site_fract_x
_atom_site_fract_y
_atom_site_fract_z
_atom_site_occupancy
Sc1 0.0000 0.0000 0.0000 1
Co1 0.0000 0.0000 0.6012 1
Co2 0.5000 0.5000 0.7425 1
Te1 0.5000 0.5000 0.3198 1


Record 4
# PBE CaCdIn2, optimized geometry
# * total moment: 0.00 μB per formula unit
# * energy of formation: -0.21 eV/atom
# * total energy: -2.31 eV/atom
# * density of states at the Fermi level: 0.638 states/eV/atom
data_CaCdIn2
_chemical_formula_sum 'Ca1 Cd1 In2'
_space_group_name_H-M_alt 'P 4 m m'
_space_group_IT_number 99
_cell_length_a 3.7863
_cell_length_b 3.7863
_cell_length_c 7.5106
_cell_angle_alpha 90.00
_cell_angle_beta 90.00
_cell_angle_gamma 90.00
loop_
_space_group_symop_operation_xyz
'x,y,z'
'-y,x,z'
'-x,-y,z'
'y,-x,z'
'-x,y,z'
'y,x,z'
'x,-y,z'
'-y,-x,z'
loop_
_atom_site_label
_atom_site_fract_x
_atom_site_fract_y
_atom_site_fract_z
_atom_site_occupancy
Ca1 0.0000 0.0000 0.0000 1
Cd1 0.5000 0.5000 0.2649 1
In1 0.0000 0.0000 0.4880 1
In2 0.5000 0.5000 0.7235 1


Record 5
# PBE BaCuNi, optimized geometry
# * total moment: 0.02 μB per formula unit
# * energy of formation: 0.28 eV/atom
# * total energy: -3.66 eV/atom
# * density of states at the Fermi level: 1.216 states/eV/atom
# * energy above the most stable polymorph in this dataset: 25.2 kJ/mol of atoms
data_BaCuNi
_chemical_formula_sum 'Ba2 Cu2 Ni2'
_space_group_name_H-M_alt 'I 4 m m'
_space_group_IT_number 107
_space_group_name_Hall 'I 4 -2'
_cell_length_a 3.4777
_cell_length_b 3.4777
_cell_length_c 10.6773
_cell_angle_alpha 90.00
_cell_angle_beta 90.00
_cell_angle_gamma 90.00
loop_
_atom_site_label
_atom_site_fract_x
_atom_site_fract_y
_atom_site_fract_z
_atom_site_occupancy
Ba1 0.0000 0.0000 0.0000 1
Cu1 0.0000 0.0000 0.2777 1
Ni1 0.0000 0.0000 0.7251 1


Record 6
# PBE RbPmHgSe3, optimized geometry
# * energy relative to the elements, uncorrected: -1.200 eV per atom
# * total moment: 0.00 μB per formula unit
# * total energy: -3.95 eV/atom
data_RbPmHgSe3
_chemical_formula_sum 'Rb2 Pm2 Hg2 Se6'
_space_group_name_H-M_alt 'P 1 21/m 1'
_space_group_IT_number 11
_cell_length_a 9.2111
_cell_length_b 4.3636
_cell_length_c 10.4848
_cell_angle_alpha 90.00
_cell_angle_beta 107.88
_cell_angle_gamma 90.00
loop_
_space_group_symop_operation_xyz
'x,y,z'
'-x,-y,-z'
'-x,y+1/2,-z'
'x,-y+1/2,z'
loop_
_atom_site_label
_atom_site_fract_x
_atom_site_fract_y
_atom_site_fract_z
_atom_site_occupancy
Rb1 0.2207 0.2500 0.2464 1
Pm1 0.3256 0.7500 0.8635 1
Hg1 0.0914 0.2500 0.6162 1
Se1 0.1033 0.2500 0.8706 1
Se2 0.2279 0.7500 0.5450 1
Se3 0.4648 0.7500 0.1506 1


Record 7
# PBE SrInCl5, optimized geometry
# * energy relative to the elements, uncorrected: -1.628 eV per atom
# * total moment: 0.00 μB per formula unit
# * total energy: -3.58 eV/atom
# * density of states at the Fermi level: 0.000 states/eV/atom
data_SrInCl5
_chemical_formula_sum 'Sr4 In4 Cl20'
_space_group_name_H-M_alt 'C 1 2/c 1'
_space_group_IT_number 15
_cell_length_a 11.6856
_cell_length_b 8.2363
_cell_length_c 10.0883
_cell_angle_alpha 90.00
_cell_angle_beta 115.02
_cell_angle_gamma 90.00
loop_
_space_group_symop_operation_xyz
'x,y,z'
'-x,-y,-z'
'-x,y,-z+1/2'
'x,-y,z+1/2'
'x+1/2,y+1/2,z'
'-x+1/2,-y+1/2,-z'
'-x+1/2,y+1/2,-z+1/2'
'x+1/2,-y+1/2,z+1/2'
loop_
_atom_site_label
_atom_site_fract_x
_atom_site_fract_y
_atom_site_fract_z
_atom_site_occupancy
Sr1 0.0000 0.0466 0.2500 1
In1 0.0000 0.5000 0.0000 1
Cl1 0.0000 0.4119 0.2500 1
Cl2 0.0435 0.1975 0.9855 1
Cl3 0.2283 0.4389 0.6269 1